A relaxed AgMoN2 crystal. Source: the Alexandria database, functional PBEsol.

Computed properties:
As for the magnetization: 0.00 μB per cell. For the raw formation energy, the calculation gives -42 meV per atom. The symmetry is R-3m.

Cell and atoms, written as CIF:
```
data_AgMoN2
_chemical_formula_sum 'Ag1 Mo1 N2'
_cell_length_a 6.7122
_cell_length_b 6.7122
_cell_length_c 6.7122
_cell_angle_alpha 25.17
_cell_angle_beta 25.17
_cell_angle_gamma 25.17
_symmetry_space_group_name_H-M 'P 1'
_symmetry_Int_Tables_number 1
loop_
_symmetry_equiv_pos_as_xyz
'x,y,z'
loop_
_atom_site_label
_atom_site_type_symbol
_atom_site_fract_x
_atom_site_fract_y
_atom_site_fract_z
Ag1 Ag 0.0000 0.0000 0.0000
Mo1 Mo 0.5000 0.5000 0.5000
N1 N 0.1066 0.1066 0.1066
N2 N 0.8934 0.8934 0.8934
```

***

A relaxed AgMoS2N crystal. Source: the Alexandria database, functional PBEsol.

Computed properties:
As for the magnetization: 0.00 μB per cell. For the raw formation energy, the calculation gives 169 meV per atom. The symmetry is P4/mmm.

Cell and atoms, written as CIF:
```
data_AgMoS2N
_chemical_formula_sum 'Ag1 Mo1 S2 N1'
_cell_length_a 4.7577
_cell_length_b 4.7577
_cell_length_c 3.7510
_cell_angle_alpha 90.00
_cell_angle_beta 90.00
_cell_angle_gamma 90.00
_symmetry_space_group_name_H-M 'P 1'
_symmetry_Int_Tables_number 1
loop_
_symmetry_equiv_pos_as_xyz
'x,y,z'
loop_
_atom_site_label
_atom_site_type_symbol
_atom_site_fract_x
_atom_site_fract_y
_atom_site_fract_z
Ag1 Ag 0.0000 0.0000 0.0000
Mo1 Mo 0.5000 0.5000 0.5000
S1 S 0.0000 0.5000 0.5000
S2 S 0.5000 0.0000 0.5000
N1 N 0.5000 0.5000 0.0000
```

***

A relaxed SrAgMoN2 crystal. Source: the Alexandria database, functional PBEsol.

Computed properties:
As for the magnetization: 5.48 μB per cell. For the raw formation energy, the calculation gives 2028 meV per atom. The symmetry is P4/mmm.

Cell and atoms, written as CIF:
```
data_SrAgMoN2
_chemical_formula_sum 'Sr1 Ag1 Mo1 N2'
_cell_length_a 4.3294
_cell_length_b 4.3294
_cell_length_c 4.9333
_cell_angle_alpha 90.00
_cell_angle_beta 90.00
_cell_angle_gamma 90.00
_symmetry_space_group_name_H-M 'P 1'
_symmetry_Int_Tables_number 1
loop_
_symmetry_equiv_pos_as_xyz
'x,y,z'
loop_
_atom_site_label
_atom_site_type_symbol
_atom_site_fract_x
_atom_site_fract_y
_atom_site_fract_z
Sr1 Sr 0.0000 0.0000 0.0000
Ag1 Ag 0.5000 0.5000 0.5000
Mo1 Mo 0.5000 0.5000 0.0000
N1 N 0.0000 0.5000 0.5000
N2 N 0.5000 0.0000 0.5000
```

***

A relaxed NaAgMoPb2 crystal. Source: the Alexandria database, functional PBEsol.

Computed properties:
As for the magnetization: 4.25 μB per cell. For the total energy, the calculation gives -3.793 eV/atom. The symmetry is P4/mmm.

Cell and atoms, written as CIF:
```
data_NaAgMoPb2
_chemical_formula_sum 'Na1 Ag1 Mo1 Pb2'
_cell_length_a 5.3727
_cell_length_b 5.3727
_cell_length_c 5.3000
_cell_angle_alpha 90.00
_cell_angle_beta 90.00
_cell_angle_gamma 90.00
_symmetry_space_group_name_H-M 'P 1'
_symmetry_Int_Tables_number 1
loop_
_symmetry_equiv_pos_as_xyz
'x,y,z'
loop_
_atom_site_label
_atom_site_type_symbol
_atom_site_fract_x
_atom_site_fract_y
_atom_site_fract_z
Na1 Na 0.0000 0.0000 0.0000
Ag1 Ag 0.5000 0.5000 0.5000
Mo1 Mo 0.5000 0.5000 0.0000
Pb1 Pb 0.0000 0.5000 0.5000
Pb2 Pb 0.5000 0.0000 0.5000
```

***

A relaxed NiAg2Mo crystal. Source: the Alexandria database, functional PBEsol.

Computed properties:
As for the magnetization: 0.00 μB per cell. The offset from the most stable computed form comes out at 311 meV per atom. The symmetry is Cmmm.

Cell and atoms, written as CIF:
```
data_NiAg2Mo
_chemical_formula_sum 'Ni1 Ag2 Mo1'
_cell_length_a 5.0380
_cell_length_b 5.0380
_cell_length_c 2.6282
_cell_angle_alpha 90.00
_cell_angle_beta 90.00
_cell_angle_gamma 117.64
_symmetry_space_group_name_H-M 'P 1'
_symmetry_Int_Tables_number 1
loop_
_symmetry_equiv_pos_as_xyz
'x,y,z'
loop_
_atom_site_label
_atom_site_type_symbol
_atom_site_fract_x
_atom_site_fract_y
_atom_site_fract_z
Ni1 Ni 0.0000 0.0000 0.0000
Ag1 Ag 0.0000 0.5000 0.5000
Ag2 Ag 0.5000 0.0000 0.5000
Mo1 Mo 0.5000 0.5000 0.0000
```

***

A relaxed NiAg2Mo crystal. Source: the Alexandria database, functional PBEsol.

Computed properties:
As for the magnetization: 0.00 μB per cell. The offset from the most stable computed form comes out at 298 meV per atom. The symmetry is I-4m2.

Cell and atoms, written as CIF:
```
data_NiAg2Mo
_chemical_formula_sum 'Ni1 Ag2 Mo1'
_cell_length_a 4.3553
_cell_length_b 4.3553
_cell_length_c 4.3553
_cell_angle_alpha 119.74
_cell_angle_beta 119.74
_cell_angle_gamma 90.45
_symmetry_space_group_name_H-M 'P 1'
_symmetry_Int_Tables_number 1
loop_
_symmetry_equiv_pos_as_xyz
'x,y,z'
loop_
_atom_site_label
_atom_site_type_symbol
_atom_site_fract_x
_atom_site_fract_y
_atom_site_fract_z
Ni1 Ni 0.0000 0.0000 0.0000
Ag1 Ag 0.2500 0.7500 0.5000
Ag2 Ag 0.5000 0.5000 0.0000
Mo1 Mo 0.7500 0.2500 0.5000
```

***

A relaxed NiAgMo crystal. Source: the Alexandria database, functional PBEsol.

Computed properties:
As for the magnetization: 0.00 μB per cell. For the total energy, the calculation gives -6.368 eV/atom. The symmetry is F-43m.

Cell and atoms, written as CIF:
```
data_NiAgMo
_chemical_formula_sum 'Ni1 Ag1 Mo1'
_cell_length_a 4.0468
_cell_length_b 4.0468
_cell_length_c 4.0468
_cell_angle_alpha 60.00
_cell_angle_beta 60.00
_cell_angle_gamma 60.00
_symmetry_space_group_name_H-M 'P 1'
_symmetry_Int_Tables_number 1
loop_
_symmetry_equiv_pos_as_xyz
'x,y,z'
loop_
_atom_site_label
_atom_site_type_symbol
_atom_site_fract_x
_atom_site_fract_y
_atom_site_fract_z
Ni1 Ni 0.0000 0.0000 0.0000
Ag1 Ag 0.2500 0.2500 0.2500
Mo1 Mo 0.7500 0.7500 0.7500
```

***

A relaxed NiAg2Mo crystal. Source: the Alexandria database, functional PBEsol.

Computed properties:
As for the magnetization: 0.00 μB per cell. The offset from the most stable computed form comes out at 0 meV per atom. The symmetry is R3m.

Cell and atoms, written as CIF:
```
data_NiAg2Mo
_chemical_formula_sum 'Ni1 Ag2 Mo1'
_cell_length_a 9.1687
_cell_length_b 9.1687
_cell_length_c 9.1687
_cell_angle_alpha 17.24
_cell_angle_beta 17.24
_cell_angle_gamma 17.24
_symmetry_space_group_name_H-M 'P 1'
_symmetry_Int_Tables_number 1
loop_
_symmetry_equiv_pos_as_xyz
'x,y,z'
loop_
_atom_site_label
_atom_site_type_symbol
_atom_site_fract_x
_atom_site_fract_y
_atom_site_fract_z
Ni1 Ni 0.0000 0.0000 0.0000
Ag1 Ag 0.5035 0.5035 0.5035
Ag2 Ag 0.7474 0.7474 0.7474
Mo1 Mo 0.2608 0.2608 0.2608
```